1.
Density functional theory data (PBE-GGA) for an optimized crystal structure of Dy3Y4Er4.

POSCAR file:
```
Dy3Y4Er4
1.0
-1.758 5.600 9.084
1.758 -5.600 9.084
1.758 5.600 -9.084
Dy Y Er
3 4 4
Direct
0.000 0.000 0.000
0.390 0.890 0.500
0.610 0.110 0.500
0.216 0.216 0.000
0.292 0.500 0.792
0.708 0.500 0.208
0.784 0.784 0.000
0.075 0.329 0.746
0.417 0.671 0.746
0.583 0.329 0.254
0.925 0.671 0.254
```

As for the symmetry: Immm, No. 71. The total energy is -5.08 eV/atom. Its formation energy is 0.187 eV/atom. The total magnetization is 0.00 μB/atom.


2.
Density functional theory data (PBE-GGA) for an optimized crystal structure of DyY2Er2.

POSCAR file:
```
DyY2Er2
1.0
9.279 0.000 0.000
0.000 9.279 0.000
0.000 0.000 3.708
Dy Y Er
2 4 4
Direct
0.000 0.000 0.000
0.500 0.500 0.000
0.172 0.328 0.500
0.328 0.828 0.500
0.672 0.172 0.500
0.828 0.672 0.500
0.126 0.626 0.000
0.374 0.126 0.000
0.626 0.874 0.000
0.874 0.374 0.000
```

As for the symmetry: P4/mbm, No. 127. The total energy is -5.24 eV/atom. Its formation energy is 0.091 eV/atom. The total magnetization is 0.00 μB/atom.


3.
Density functional theory data (PBE-GGA) for an optimized crystal structure of DyY12Er3.

POSCAR file:
```
DyY12Er3
1.0
5.031 0.000 0.000
0.000 5.031 0.000
0.000 0.000 20.128
Dy Y Er
1 12 3
Direct
0.000 0.000 0.000
0.000 0.500 0.125
0.000 0.500 0.375
0.000 0.500 0.625
0.000 0.500 0.875
0.500 0.000 0.125
0.500 0.000 0.375
0.500 0.000 0.625
0.500 0.000 0.875
0.500 0.500 0.000
0.500 0.500 0.250
0.500 0.500 0.500
0.500 0.500 0.750
0.000 0.000 0.250
0.000 0.000 0.500
0.000 0.000 0.750
```

As for the symmetry: P4/mmm, No. 123. The total energy is -5.97 eV/atom. Its formation energy is 0.025 eV/atom. The total magnetization is 0.00 μB/atom.


4.
Density functional theory data (PBE-GGA) for an optimized crystal structure of Dy4Y3Er5.

POSCAR file:
```
Dy4Y3Er5
1.0
7.986 -2.918 0.000
7.986 2.918 0.000
-4.165 0.000 8.275
Dy Y Er
4 3 5
Direct
0.082 0.082 0.442
0.213 0.213 0.879
0.787 0.787 0.121
0.918 0.918 0.558
0.210 0.210 0.233
0.500 0.500 0.000
0.790 0.790 0.767
0.000 0.000 0.000
0.327 0.327 0.614
0.428 0.428 0.300
0.572 0.572 0.700
0.673 0.673 0.386
```

As for the symmetry: C2/m, No. 12. Its energy above the most stable polymorph in this dataset is 5.30 kcal/mol of atoms. The total energy is -4.80 eV/atom. Its formation energy is 0.252 eV/atom. The total magnetization is 0.05 μB/atom.


5.
Density functional theory data (PBE-GGA) for an optimized crystal structure of Dy2Y5Er.

POSCAR file:
```
Dy2Y5Er
1.0
2.762 -5.967 0.000
2.762 5.967 0.000
0.000 0.000 15.817
Dy Y Er
4 10 2
Direct
0.220 0.780 0.631
0.220 0.780 0.869
0.780 0.220 0.131
0.780 0.220 0.369
0.078 0.922 0.094
0.078 0.922 0.406
0.381 0.619 0.049
0.381 0.619 0.451
0.458 0.542 0.750
0.542 0.458 0.250
0.619 0.381 0.549
0.619 0.381 0.951
0.922 0.078 0.594
0.922 0.078 0.906
0.268 0.732 0.250
0.732 0.268 0.750
```

As for the symmetry: Cmcm, No. 63. Its energy above the most stable polymorph in this dataset is 0.00 kcal/mol of atoms. The total energy is -5.62 eV/atom. Its formation energy is 0.136 eV/atom. The total magnetization is 0.00 μB/atom.


6.
Density functional theory data (PBE-GGA) for an optimized crystal structure of Dy2Y3Er.

POSCAR file:
```
Dy2Y3Er
1.0
8.860 -1.748 0.000
8.860 1.748 0.000
-6.531 0.000 12.545
Dy Y Er
4 6 2
Direct
0.158 0.158 0.469
0.319 0.319 0.117
0.681 0.681 0.883
0.842 0.842 0.531
0.099 0.099 0.025
0.240 0.240 0.293
0.462 0.462 0.785
0.538 0.538 0.215
0.760 0.760 0.707
0.901 0.901 0.975
0.062 0.062 0.643
0.938 0.938 0.357
```

As for the symmetry: C2/m, No. 12. Its energy above the most stable polymorph in this dataset is 2.22 kcal/mol of atoms. The total energy is -5.41 eV/atom. Its formation energy is 0.120 eV/atom. The total magnetization is 0.00 μB/atom.


7.
Density functional theory data (PBE-GGA) for an optimized crystal structure of DyY4Er2.

POSCAR file:
```
DyY4Er2
1.0
-3.360 5.706 5.994
3.360 -5.706 5.994
3.360 5.706 -5.994
Dy Y Er
2 8 4
Direct
0.500 0.000 0.000
0.500 0.500 0.500
0.154 0.147 0.007
0.238 0.214 0.475
0.238 0.763 0.025
0.359 0.853 0.507
0.641 0.147 0.493
0.762 0.237 0.975
0.762 0.786 0.525
0.846 0.853 0.993
0.000 0.500 0.500
0.027 0.277 0.750
0.500 0.500 0.000
0.973 0.723 0.250
```

As for the symmetry: Imma, No. 74. Its energy above the most stable polymorph in this dataset is 5.78 kcal/mol of atoms. The total energy is -5.37 eV/atom. Its formation energy is 0.283 eV/atom. The total magnetization is 0.00 μB/atom.


8.
Density functional theory data (PBE-GGA) for an optimized crystal structure of DyY4Er10.

POSCAR file:
```
DyY4Er10
1.0
-6.051 6.051 3.823
6.051 -6.051 3.823
6.051 6.051 -3.823
Dy Y Er
1 4 10
Direct
0.000 0.000 0.000
0.201 0.400 0.600
0.400 0.799 0.199
0.600 0.201 0.801
0.799 0.600 0.400
0.049 0.348 0.900
0.150 0.049 0.702
0.250 0.750 0.500
0.348 0.448 0.298
0.448 0.150 0.100
0.552 0.850 0.900
0.652 0.552 0.702
0.750 0.250 0.500
0.850 0.951 0.298
0.951 0.652 0.100
```

As for the symmetry: I4/m, No. 87. The total energy is -4.32 eV/atom. Its formation energy is 0.756 eV/atom. The total magnetization is 0.00 μB/atom.


9.
Density functional theory data (PBE-GGA) for an optimized crystal structure of Dy2Y8Er.

POSCAR file:
```
Dy2Y8Er
1.0
7.164 -3.299 0.000
7.164 3.299 0.000
-5.069 0.000 7.711
Dy Y Er
2 8 1
Direct
0.178 0.178 0.296
0.822 0.822 0.704
0.141 0.141 0.638
0.146 0.633 0.058
0.367 0.854 0.942
0.375 0.375 0.696
0.625 0.625 0.304
0.633 0.146 0.058
0.854 0.367 0.942
0.859 0.859 0.362
0.500 0.500 0.500
```

As for the symmetry: C2/m, No. 12. Its energy above the most stable polymorph in this dataset is 2.78 kcal/mol of atoms. The total energy is -5.67 eV/atom. Its formation energy is 0.282 eV/atom. The total magnetization is 0.00 μB/atom.


10.
Density functional theory data (PBE-GGA) for an optimized crystal structure of DyY3Er6.

POSCAR file:
```
DyY3Er6
1.0
5.491 -9.440 0.000
5.491 9.440 0.000
0.000 0.000 6.127
Dy Y Er
2 6 12
Direct
0.209 0.791 0.500
0.791 0.209 0.000
0.063 0.279 0.694
0.279 0.063 0.194
0.391 0.609 0.584
0.609 0.391 0.084
0.721 0.937 0.694
0.937 0.721 0.194
0.037 0.459 0.288
0.049 0.951 0.724
0.285 0.715 0.013
0.288 0.383 0.123
0.383 0.288 0.623
0.459 0.037 0.788
0.541 0.963 0.288
0.617 0.712 0.123
0.712 0.617 0.623
0.715 0.285 0.513
0.951 0.049 0.224
0.963 0.541 0.788
```

As for the symmetry: Cmc2_1, No. 36. Its energy above the most stable polymorph in this dataset is 0.21 kcal/mol of atoms. The total energy is -5.00 eV/atom. Its formation energy is 0.142 eV/atom. The total magnetization is 0.00 μB/atom.


11.
Density functional theory data (PBE-GGA) for an optimized crystal structure of Dy12Y2Er5.

POSCAR file:
```
Dy12Y2Er5
1.0
10.905 -3.478 0.000
10.905 3.478 0.000
-2.799 0.000 8.096
Dy Y Er
12 2 5
Direct
0.046 0.554 0.705
0.048 0.048 0.191
0.136 0.650 0.114
0.350 0.864 0.886
0.351 0.351 0.420
0.446 0.954 0.295
0.554 0.046 0.705
0.649 0.649 0.580
0.650 0.136 0.114
0.864 0.350 0.886
0.952 0.952 0.809
0.954 0.446 0.295
0.247 0.753 0.500
0.753 0.247 0.500
0.151 0.151 0.595
0.250 0.250 0.005
0.500 0.500 0.000
0.750 0.750 0.995
0.849 0.849 0.405
```

As for the symmetry: C2/m, No. 12. Its energy above the most stable polymorph in this dataset is 0.00 kcal/mol of atoms. The total energy is -4.64 eV/atom. Its formation energy is 0.146 eV/atom. The total magnetization is 0.00 μB/atom.


12.
Density functional theory data (PBE-GGA) for an optimized crystal structure of Dy2Y3Er6.

POSCAR file:
```
Dy2Y3Er6
1.0
-2.351 2.351 16.455
2.351 -2.351 16.455
2.351 2.351 -16.455
Dy Y Er
2 3 6
Direct
0.046 0.046 0.000
0.954 0.954 0.000
0.298 0.298 0.000
0.500 0.500 0.000
0.702 0.702 0.000
0.121 0.621 0.500
0.193 0.193 0.000
0.379 0.879 0.500
0.621 0.121 0.500
0.807 0.807 0.000
0.879 0.379 0.500
```

As for the symmetry: I4/mmm, No. 139. Its energy above the most stable polymorph in this dataset is 3.32 kcal/mol of atoms. The total energy is -4.81 eV/atom. Its formation energy is 0.278 eV/atom. The total magnetization is 0.00 μB/atom.


| no. | density (Mg/m³) |
| --- | --- |
| 1 | 7.02 |
| 2 | 7.02 |
| 3 | 5.64 |
| 4 | 7.55 |
| 5 | 5.97 |
| 6 | 6.49 |
| 7 | 6.16 |
| 8 | 6.50 |
| 9 | 5.48 |
| 10 | 7.49 |
| 11 | 8.01 |
| 12 | 7.28 |